Entry 1:
Material: ScVRu3
Method: DFT, PBE-GGA
State: relaxed

The calculation puts the energy of formation at 0.4414 eV/atom. Its density of states at the Fermi level is 3.13 states/eV/f.u. For the energy above the lowest structure with this stoichiometry, the calculation gives 0.0000 eV per atom. The symmetry is No. 221.

a = 4.459 Å, b = 4.459 Å, c = 4.459 Å
α = 90.00°, β = 90.00°, γ = 90.00°
Atoms (fractional coordinates):
Sc1 0.000 0.000 0.000
V1 0.500 0.500 0.500
Ru1 0.000 0.500 0.500
Ru2 0.500 0.000 0.500
Ru3 0.500 0.500 0.000

---

Entry 2:
Material: ScV3Ru4
Method: DFT, PBE-GGA
State: relaxed

The calculation puts the energy of formation at -0.3356 eV/atom. Its density of states at the Fermi level is 7.37 states/eV/f.u. The symmetry is No. 123.

a = 4.322 Å, b = 4.322 Å, c = 6.114 Å
α = 90.00°, β = 90.00°, γ = 90.00°
Atoms (fractional coordinates):
Sc1 0.000 0.000 0.000
V1 0.000 0.000 0.500
V2 0.500 0.500 0.000
V3 0.500 0.500 0.500
Ru1 0.000 0.500 0.259
Ru2 0.000 0.500 0.741
Ru3 0.500 0.000 0.259
Ru4 0.500 0.000 0.741

---

Q: Which value of energy of formation does entry 2 give?
A: -0.3356 eV/atom